Entry 1:
Entry from the Alexandria database: LaDy12Ho7 after structural relaxation (PBE).

The formation energy is 0.24 eV/atom.

a = 8.703 Å, b = 8.703 Å, c = 8.703 Å
α = 87.04°, β = 87.04°, γ = 87.04°
Atoms (fractional coordinates):
La  0.000  0.000  0.000
Dy  0.105  0.346  0.432
Dy  0.232  0.761  0.353
Dy  0.239  0.647  0.768
Dy  0.346  0.432  0.105
Dy  0.353  0.232  0.761
Dy  0.432  0.105  0.346
Dy  0.568  0.895  0.654
Dy  0.647  0.768  0.239
Dy  0.654  0.568  0.895
Dy  0.761  0.353  0.232
Dy  0.768  0.239  0.647
Dy  0.895  0.654  0.568
Ho  0.002  0.370  0.875
Ho  0.125  0.998  0.630
Ho  0.370  0.875  0.002
Ho  0.500  0.500  0.500
Ho  0.630  0.125  0.998
Ho  0.875  0.002  0.370
Ho  0.998  0.630  0.125

Entry 2:
Entry from the Alexandria database: Cu6Hg3Sb4S12 after structural relaxation (PBE).

As for the formation energy from raw total energies: -218 meV per atom.

a = 8.803 Å, b = 8.803 Å, c = 8.803 Å
α = 107.53°, β = 107.53°, γ = 107.53°
Atoms (fractional coordinates):
Cu  0.105  0.636  0.259
Cu  0.152  0.888  0.945
Cu  0.259  0.105  0.636
Cu  0.636  0.259  0.105
Cu  0.888  0.945  0.152
Cu  0.945  0.152  0.888
Hg  0.025  0.409  0.557
Hg  0.409  0.557  0.025
Hg  0.557  0.025  0.409
Sb  0.361  0.361  0.361
Sb  0.507  0.789  0.721
Sb  0.721  0.507  0.789
Sb  0.789  0.721  0.507
S  0.057  0.989  0.739
S  0.123  0.174  0.413
S  0.174  0.413  0.123
S  0.278  0.701  0.832
S  0.331  0.880  0.511
S  0.413  0.123  0.174
S  0.511  0.331  0.880
S  0.701  0.832  0.278
S  0.739  0.057  0.989
S  0.832  0.278  0.701
S  0.880  0.511  0.331
S  0.989  0.739  0.057

Entry 3:
Entry from the Alexandria database: NaAc2LaTe4 after structural relaxation (PBE).

As for the formation energy from raw total energies: -1465 meV per atom.

a = 8.045 Å, b = 4.664 Å, c = 8.137 Å
α = 90.00°, β = 109.46°, γ = 90.00°
Atoms (fractional coordinates):
Na  0.000  0.000  0.000
Ac  0.500  0.000  0.500
Ac  0.500  0.500  0.000
La  0.000  0.500  0.500
Te  0.239  0.000  0.749
Te  0.240  0.500  0.246
Te  0.760  0.500  0.754
Te  0.761  0.000  0.251

Entry 4:
Entry from the Alexandria database: MnPbBr2 after structural relaxation (PBE).

As for the formation energy from raw total energies: -13 meV per atom.

a = 3.731 Å, b = 4.744 Å, c = 6.232 Å
α = 90.00°, β = 90.00°, γ = 90.00°
Atoms (fractional coordinates):
Mn  0.000  0.000  0.000
Pb  0.500  0.000  0.500
Br  0.000  0.500  0.500
Br  0.500  0.500  0.000

Entry 5:
Entry from the Alexandria database: Pm6TlSb2Se3 after structural relaxation (PBE).

As for the formation energy from raw total energies: -1361 meV per atom.

a = 9.740 Å, b = 9.740 Å, c = 8.781 Å
α = 102.91°, β = 102.91°, γ = 25.61°
Atoms (fractional coordinates):
Pm  0.003  0.003  0.240
Pm  0.331  0.331  0.423
Pm  0.335  0.335  0.912
Pm  0.665  0.665  0.088
Pm  0.669  0.669  0.577
Pm  0.997  0.997  0.760
Tl  0.500  0.500  0.500
Sb  0.166  0.166  0.833
Sb  0.834  0.834  0.167
Se  0.168  0.168  0.333
Se  0.500  0.500  0.000
Se  0.832  0.832  0.667

What are the magnetization values for these records? In order: 0.0; 0.0; 0.0; 4.7; 0.0 μB/cell.